Below is a relaxed K2AlFeO4 crystal, with properties calculated at the GGA+U level.

Output
Calculated total energy   -5.81 eV/atom
Size of the total moment   5.00 μB per formula unit

Unit cell a=5.086 b=11.950 c=19.498 alpha=90.00 beta=90.00 gamma=90.00
Space group Fddd (No. 70, origin choice 2)
Asymmetric unit:
K  0.125  0.125  0.301 x16
Al  0.125  0.125  0.125 x8
Fe  0.125  0.125  0.625 x8
O  0.105  0.291  0.421 x32